No. 1
Compound: Pr12SmHo7
Source: Alexandria
Functional: PBE
Structure: optimized geometry

abc: 9.489 9.489 9.489
angles: 107.90 107.90 107.90
Sites, in units of the cell vectors:
1 Sm 0.000 0.000 0.000
2 Pr 0.622 0.780 0.327
3 Ho 0.681 0.993 0.105
4 Pr 0.592 0.947 0.705
5 Ho 0.993 0.105 0.681
6 Ho 0.500 0.500 0.500
7 Ho 0.105 0.681 0.993
8 Pr 0.295 0.408 0.053
9 Pr 0.408 0.053 0.295
10 Pr 0.378 0.220 0.673
11 Ho 0.319 0.007 0.895
12 Ho 0.895 0.319 0.007
13 Pr 0.705 0.592 0.947
14 Pr 0.947 0.705 0.592
15 Pr 0.673 0.378 0.220
16 Pr 0.053 0.295 0.408
17 Pr 0.220 0.673 0.378
18 Pr 0.780 0.327 0.622
19 Ho 0.007 0.895 0.319
20 Pr 0.327 0.622 0.780

Calculated values
Formation energy: 144 meV/atom
Total moment: 0.000 μB/f.u.
Crystal system: trigonal
Space group: R-3 (148)
Excess energy over the best structure of this formula in the dataset: 0.000 eV per formula unit

=====

No. 2
Compound: PrSm15Ho4
Source: Alexandria
Functional: PBE
Structure: optimized geometry

abc: 5.110 5.110 25.511
angles: 90.00 90.00 90.00
Sites, in units of the cell vectors:
1 Sm 0.500 0.500 0.599
2 Sm 0.500 0.500 0.798
3 Ho 0.000 0.000 0.599
4 Sm 0.000 0.500 0.699
5 Sm 0.000 0.500 0.102
6 Sm 0.500 0.500 0.202
7 Sm 0.500 0.500 0.401
8 Pr 0.000 0.000 0.000
9 Sm 0.000 0.500 0.500
10 Ho 0.000 0.000 0.202
11 Sm 0.500 0.000 0.500
12 Sm 0.500 0.500 0.000
13 Ho 0.000 0.000 0.401
14 Sm 0.500 0.000 0.898
15 Sm 0.000 0.500 0.898
16 Sm 0.000 0.500 0.301
17 Sm 0.500 0.000 0.699
18 Ho 0.000 0.000 0.798
19 Sm 0.500 0.000 0.301
20 Sm 0.500 0.000 0.102

Calculated values
Formation energy: 17 meV/atom
Total moment: 0.000 μB/f.u.
Crystal system: tetragonal
Space group: P4/mmm (123)

=====

No. 3
Compound: Pr4Sm3Ho5
Source: Alexandria
Functional: PBE
Structure: optimized geometry

abc: 7.218 9.566 13.047
angles: 137.30 56.21 139.10
Sites, in units of the cell vectors:
1 Sm 0.000 0.000 0.500
2 Ho 0.500 0.000 0.500
3 Ho 0.335 0.668 0.833
4 Sm 0.254 0.503 0.501
5 Ho 0.415 0.836 0.168
6 Pr 0.918 0.833 0.167
7 Pr 0.831 0.663 0.832
8 Ho 0.585 0.164 0.832
9 Sm 0.746 0.497 0.499
10 Pr 0.082 0.167 0.833
11 Pr 0.169 0.337 0.168
12 Ho 0.665 0.332 0.167

Calculated values
Formation energy: 18 meV/atom
Total moment: 0.000 μB/f.u.
Crystal system: triclinic
Space group: P-1 (2)
Excess energy over the best structure of this formula in the dataset: 0.000 eV per formula unit

=====

No. 4
Compound: Pr5Sm8Ho
Source: Alexandria
Functional: PBE
Structure: optimized geometry

abc: 8.739 8.772 8.740
angles: 117.55 95.61 115.87
Sites, in units of the cell vectors:
1 Pr 0.170 0.476 0.271
2 Pr 0.105 0.023 0.882
3 Sm 0.641 0.751 0.474
4 Sm 0.375 0.749 0.748
5 Sm 0.800 0.254 0.911
6 Pr 0.435 0.021 0.550
7 Sm 0.241 0.751 0.074
8 Sm 0.557 0.251 0.165
9 Ho 0.499 0.474 0.939
10 Sm 0.965 0.749 0.338
11 Pr 0.817 0.488 0.635
12 Pr 0.786 0.007 0.186
13 Sm 0.308 0.254 0.419
14 Sm 0.050 0.251 0.658

Calculated values
Formation energy: 156 meV/atom
Total moment: 0.000 μB/f.u.
Crystal system: monoclinic
Space group: Cm (8)

=====

No. 5
Compound: PrSm6Ho12
Source: Alexandria
Functional: PBE
Structure: optimized geometry

abc: 8.552 8.552 8.552
angles: 91.34 91.34 91.34
Sites, in units of the cell vectors:
1 Ho 0.618 0.931 0.858
2 Ho 0.931 0.858 0.618
3 Ho 0.069 0.142 0.382
4 Sm 0.725 0.862 0.254
5 Ho 0.532 0.208 0.473
6 Pr 0.000 0.000 0.000
7 Ho 0.858 0.618 0.931
8 Ho 0.382 0.069 0.142
9 Sm 0.138 0.746 0.275
10 Ho 0.142 0.382 0.069
11 Sm 0.254 0.725 0.862
12 Sm 0.862 0.254 0.725
13 Sm 0.275 0.138 0.746
14 Ho 0.468 0.792 0.527
15 Ho 0.792 0.527 0.468
16 Ho 0.208 0.473 0.532
17 Ho 0.473 0.532 0.208
18 Ho 0.527 0.468 0.792
19 Sm 0.746 0.275 0.138

Calculated values
Formation energy: 186 meV/atom
Total moment: 0.002 μB/f.u.
Crystal system: trigonal
Space group: R-3 (148)
Excess energy over the best structure of this formula in the dataset: 3.192 eV per formula unit

=====

No. 6
Compound: Pr2Sm4Ho3
Source: Alexandria
Functional: PBE
Structure: optimized geometry

abc: 3.630 3.630 26.814
angles: 90.00 90.00 120.00
Sites, in units of the cell vectors:
1 Sm 0.000 0.000 0.544
2 Ho 0.000 0.000 0.326
3 Pr 0.667 0.333 0.088
4 Ho 0.667 0.333 0.651
5 Sm 0.000 0.000 0.758
6 Pr 0.667 0.333 0.872
7 Sm 0.667 0.333 0.222
8 Sm 0.667 0.333 0.434
9 Ho 0.000 0.000 0.982

Calculated values
Formation energy: 52 meV/atom
Total moment: 0.000 μB/f.u.
Crystal system: trigonal
Space group: P3m1 (156)
Excess energy over the best structure of this formula in the dataset: 0.000 eV per formula unit

=====

No. 7
Compound: Pr4Sm2Ho5
Source: Alexandria
Functional: PBE
Structure: optimized geometry

abc: 5.730 6.668 10.087
angles: 90.95 106.50 90.00
Sites, in units of the cell vectors:
1 Pr 0.695 0.077 0.389
2 Ho 0.869 0.111 0.738
3 Ho 0.210 0.401 0.419
4 Sm 0.598 0.554 0.197
5 Pr 0.305 0.923 0.611
6 Ho 0.500 0.000 0.000
7 Pr 0.022 0.283 0.043
8 Ho 0.131 0.889 0.262
9 Pr 0.978 0.717 0.957
10 Ho 0.790 0.599 0.581
11 Sm 0.402 0.446 0.803

Calculated values
Formation energy: 104 meV/atom
Total moment: 0.000 μB/f.u.
Crystal system: monoclinic
Space group: C2/m (12)
Excess energy over the best structure of this formula in the dataset: 0.000 eV per formula unit

=====

No. 8
Compound: Pr2Sm8Ho3
Source: Alexandria
Functional: PBE
Structure: optimized geometry

abc: 6.931 9.655 9.655
angles: 57.28 61.53 61.53
Sites, in units of the cell vectors:
1 Ho 0.500 0.000 0.000
2 Ho 0.000 0.171 0.829
3 Sm 0.438 0.436 0.802
4 Sm 0.562 0.564 0.198
5 Sm 0.438 0.802 0.436
6 Sm 0.562 0.198 0.564
7 Pr 0.519 0.784 0.784
8 Sm 0.995 0.812 0.812
9 Ho 0.000 0.829 0.171
10 Sm 0.943 0.417 0.417
11 Sm 0.005 0.188 0.188
12 Pr 0.481 0.216 0.216
13 Sm 0.057 0.583 0.583

Calculated values
Formation energy: 212 meV/atom
Total moment: 0.000 μB/f.u.
Crystal system: monoclinic
Space group: C2/m (12)
Excess energy over the best structure of this formula in the dataset: 0.000 eV per formula unit

=====

No. 9
Compound: PrSm3Ho5
Source: Alexandria
Functional: PBE
Structure: optimized geometry

abc: 6.083 11.031 11.496
angles: 124.00 90.00 106.01
Sites, in units of the cell vectors:
1 Ho 0.180 0.719 0.858
2 Pr 0.110 0.000 0.250
3 Ho 0.594 0.000 0.250
4 Ho 0.616 0.641 0.980
5 Sm 0.971 0.368 0.828
6 Pr 0.890 0.000 0.750
7 Sm 0.603 0.632 0.672
8 Ho 0.406 0.000 0.750
9 Ho 0.460 0.281 0.642
10 Ho 0.974 0.359 0.520
11 Ho 0.026 0.641 0.480
12 Ho 0.540 0.719 0.358
13 Sm 0.029 0.632 0.172
14 Sm 0.000 0.000 0.000
15 Sm 0.397 0.368 0.328
16 Ho 0.384 0.359 0.020
17 Ho 0.820 0.281 0.142
18 Sm 0.000 0.000 0.500

Calculated values
Formation energy: 319 meV/atom
Total moment: 0.000 μB/f.u.
Crystal system: monoclinic
Space group: C2/c (15)
Excess energy over the best structure of this formula in the dataset: 0.000 eV per formula unit

=====

No. 10
Compound: Pr4Sm15Ho
Source: Alexandria
Functional: PBE
Structure: optimized geometry

abc: 5.152 5.152 25.712
angles: 90.00 90.00 90.00
Sites, in units of the cell vectors:
1 Sm 0.500 0.000 0.098
2 Pr 0.000 0.000 0.600
3 Sm 0.000 0.500 0.098
4 Sm 0.000 0.500 0.500
5 Sm 0.000 0.500 0.902
6 Sm 0.500 0.500 0.400
7 Pr 0.000 0.000 0.199
8 Sm 0.500 0.000 0.701
9 Sm 0.500 0.000 0.902
10 Sm 0.000 0.500 0.701
11 Sm 0.500 0.000 0.299
12 Sm 0.500 0.500 0.198
13 Pr 0.000 0.000 0.801
14 Sm 0.500 0.500 0.600
15 Sm 0.500 0.000 0.500
16 Ho 0.000 0.000 0.000
17 Sm 0.500 0.500 0.802
18 Sm 0.500 0.500 0.000
19 Pr 0.000 0.000 0.400
20 Sm 0.000 0.500 0.299

Calculated values
Formation energy: 16 meV/atom
Total moment: 0.000 μB/f.u.
Crystal system: tetragonal
Space group: P4/mmm (123)

=====

No. 11
Compound: Pr7Sm2Ho
Source: Alexandria
Functional: PBE
Structure: optimized geometry

abc: 3.482 15.397 15.397
angles: 154.71 90.00 90.00
Sites, in units of the cell vectors:
1 Pr 0.500 0.341 0.142
2 Pr 0.500 0.500 0.500
3 Pr 0.000 0.690 0.310
4 Pr 0.500 0.858 0.659
5 Pr 0.500 0.659 0.858
6 Pr 0.000 0.310 0.690
7 Sm 0.500 0.793 0.207
8 Ho 0.000 0.000 0.000
9 Sm 0.500 0.207 0.793
10 Pr 0.500 0.142 0.341

Calculated values
Formation energy: 169 meV/atom
Total moment: 0.000 μB/f.u.
Crystal system: orthorhombic
Space group: Cmmm (65)
Excess energy over the best structure of this formula in the dataset: 0.000 eV per formula unit

=====

No. 12
Compound: Pr4Sm4Ho
Source: Alexandria
Functional: PBE
Structure: optimized geometry

abc: 5.160 8.175 8.175
angles: 84.28 71.60 71.60
Sites, in units of the cell vectors:
1 Sm 0.000 0.666 0.334
2 Sm 0.334 0.666 0.666
3 Sm 0.000 0.334 0.666
4 Pr 0.334 0.000 0.332
5 Pr 0.334 0.332 0.000
6 Ho 0.000 0.000 0.000
7 Sm 0.666 0.334 0.334
8 Pr 0.666 0.668 0.000
9 Pr 0.666 0.000 0.668

Calculated values
Formation energy: 14 meV/atom
Total moment: 0.000 μB/f.u.
Crystal system: tetragonal
Space group: I4/mmm (139)

=====

No. 13
Compound: Pr2Sm2Ho
Source: Alexandria
Functional: PBE
Structure: optimized geometry

abc: 6.216 6.217 8.884
angles: 110.67 110.66 32.85
Sites, in units of the cell vectors:
1 Sm 0.892 0.893 0.589
2 Pr 0.323 0.324 0.202
3 Pr 0.677 0.676 0.798
4 Sm 0.108 0.107 0.411
5 Ho 0.000 0.000 0.000

Calculated values
Formation energy: 142 meV/atom
Total moment: 0.000 μB/f.u.
Crystal system: monoclinic
Space group: C2/m (12)
Excess energy over the best structure of this formula in the dataset: 0.030 eV per formula unit

=====

No. 14
Compound: PrSm3Ho5
Source: Alexandria
Functional: PBE
Structure: optimized geometry

abc: 9.531 9.531 11.665
angles: 52.45 52.45 73.18
Sites, in units of the cell vectors:
1 Sm 0.000 0.000 0.000
2 Ho 0.503 0.503 0.777
3 Sm 0.303 0.303 0.190
4 Ho 0.259 0.741 0.000
5 Pr 0.160 0.160 0.592
6 Ho 0.818 0.818 0.957
7 Sm 0.660 0.660 0.362
8 Ho 0.741 0.259 0.000
9 Ho 0.497 0.497 0.223
10 Ho 0.648 0.150 0.751
11 Ho 0.850 0.352 0.249
12 Sm 0.340 0.340 0.638
13 Sm 0.000 0.000 0.500
14 Ho 0.182 0.182 0.043
15 Ho 0.352 0.850 0.249
16 Ho 0.150 0.648 0.751
17 Sm 0.697 0.697 0.810
18 Pr 0.840 0.840 0.408

Calculated values
Formation energy: 506 meV/atom
Total moment: 0.000 μB/f.u.
Crystal system: monoclinic
Space group: C2/m (12)
Excess energy over the best structure of this formula in the dataset: 1.683 eV per formula unit

=====

No. 15
Compound: Pr5Sm2Ho3
Source: Alexandria
Functional: PBE
Structure: optimized geometry

abc: 10.114 10.128 9.256
angles: 108.47 108.40 114.93
Sites, in units of the cell vectors:
1 Ho 0.224 0.780 0.248
2 Ho 0.524 0.468 0.248
3 Sm 0.284 0.725 0.757
4 Pr 0.378 0.132 0.758
5 Sm 0.973 0.032 0.757
6 Sm 0.027 0.968 0.243
7 Ho 0.271 0.021 0.042
8 Ho 0.776 0.220 0.752
9 Pr 0.018 0.268 0.537
10 Pr 0.120 0.374 0.242
11 Pr 0.622 0.868 0.242
12 Pr 0.227 0.477 0.954
13 Pr 0.522 0.772 0.544
14 Pr 0.880 0.626 0.758
15 Pr 0.982 0.732 0.463
16 Pr 0.478 0.228 0.456
17 Pr 0.773 0.523 0.046
18 Ho 0.729 0.979 0.958
19 Ho 0.476 0.532 0.752
20 Sm 0.716 0.275 0.243

Calculated values
Formation energy: 177 meV/atom
Total moment: 0.000 μB/f.u.
Crystal system: monoclinic
Space group: C2/c (15)
Excess energy over the best structure of this formula in the dataset: 0.000 eV per formula unit

=====

No. 16
Compound: Pr3SmHo4
Source: Alexandria
Functional: PBE
Structure: optimized geometry

abc: 3.478 8.994 8.994
angles: 81.47 78.85 78.85
Sites, in units of the cell vectors:
1 Ho 0.365 0.382 0.887
2 Ho 0.635 0.618 0.113
3 Ho 0.365 0.887 0.382
4 Pr 0.758 0.242 0.242
5 Sm 0.500 0.000 0.000
6 Pr 0.000 0.500 0.500
7 Ho 0.635 0.113 0.618
8 Pr 0.242 0.758 0.758

Calculated values
Formation energy: 135 meV/atom
Total moment: 0.000 μB/f.u.
Crystal system: orthorhombic
Space group: Immm (71)
Excess energy over the best structure of this formula in the dataset: 0.846 eV per formula unit

=====

No. 17
Compound: Pr12SmHo6
Source: Alexandria
Functional: PBE
Structure: optimized geometry

abc: 9.323 9.323 9.323
angles: 106.65 106.65 106.65
Sites, in units of the cell vectors:
1 Pr 0.518 0.806 0.421
2 Ho 0.076 0.190 0.458
3 Ho 0.924 0.810 0.542
4 Ho 0.542 0.924 0.810
5 Pr 0.173 0.721 0.866
6 Pr 0.827 0.279 0.134
7 Pr 0.421 0.518 0.806
8 Ho 0.810 0.542 0.924
9 Pr 0.721 0.866 0.173
10 Pr 0.279 0.134 0.827
11 Pr 0.579 0.482 0.194
12 Sm 0.000 0.000 0.000
13 Pr 0.482 0.194 0.579
14 Ho 0.190 0.458 0.076
15 Pr 0.806 0.421 0.518
16 Pr 0.134 0.827 0.279
17 Ho 0.458 0.076 0.190
18 Pr 0.194 0.579 0.482
19 Pr 0.866 0.173 0.721

Calculated values
Formation energy: 233 meV/atom
Total moment: 0.000 μB/f.u.
Crystal system: trigonal
Space group: R-3 (148)
Excess energy over the best structure of this formula in the dataset: 2.005 eV per formula unit

=====

No. 18
Compound: Pr4SmHo
Source: Alexandria
Functional: PBE
Structure: optimized geometry

abc: 3.508 6.218 10.358
angles: 88.26 80.25 73.62
Sites, in units of the cell vectors:
1 Ho 0.000 0.000 0.000
2 Pr 0.156 0.031 0.658
3 Sm 0.500 0.500 0.500
4 Pr 0.344 0.467 0.845
5 Pr 0.656 0.533 0.155
6 Pr 0.844 0.969 0.342

Calculated values
Formation energy: 172 meV/atom
Total moment: 0.000 μB/f.u.
Crystal system: monoclinic
Space group: C2/m (12)
Excess energy over the best structure of this formula in the dataset: 0.924 eV per formula unit

=====

No. 19
Compound: Pr5Sm4Ho
Source: Alexandria
Functional: PBE
Structure: optimized geometry

abc: 6.273 8.132 8.132
angles: 81.45 67.31 67.31
Sites, in units of the cell vectors:
1 Sm 0.759 0.675 0.675
2 Sm 0.434 0.325 0.675
3 Pr 0.776 0.001 0.378
4 Pr 0.776 0.378 0.999
5 Sm 0.109 0.325 0.325
6 Pr 0.155 0.999 0.622
7 Pr 0.154 0.622 0.001
8 Pr 0.689 0.000 0.000
9 Ho 0.225 0.000 0.000
10 Sm 0.434 0.675 0.325

Calculated values
Formation energy: 236 meV/atom
Total moment: 0.000 μB/f.u.
Crystal system: tetragonal
Space group: I4mm (107)
Excess energy over the best structure of this formula in the dataset: 2.213 eV per formula unit